(1)
Entry from Alexandria: AcTbNd3Dy after structural relaxation (PBE-GGA).

```
data_AcTbNd3Dy
_chemical_formula_sum 'Ac4 Tb4 Nd12 Dy4'
_cell_length_a 20.842
_cell_length_b 5.879
_cell_length_c 7.122
_cell_angle_alpha 90.00
_cell_angle_beta 91.17
_cell_angle_gamma 90.00
_space_group_name_H-M_alt 'C 1 2/m 1'
_space_group_IT_number 12
_space_group_name_Hall '-C 2y'
loop_
_atom_site_label
_atom_site_type_symbol
_atom_site_fract_x
_atom_site_fract_y
_atom_site_fract_z
_atom_site_occupancy
Ac1 Ac 0.147 0.000 0.033 1
Tb1 Tb 0.058 0.500 0.295 1
Nd1 Nd 0.017 0.000 0.741 1
Nd2 Nd 0.159 0.500 0.743 1
Nd3 Nd 0.219 0.500 0.275 1
Dy1 Dy 0.143 0.000 0.488 1
```

D(E_F) = 1.50 states/eV per atom
energy of formation = 0.213 eV per atom
raw total energy = -105.46 eV for the cell shown

=====

(2)
Entry from Alexandria: AcTbNdDy after structural relaxation (PBE-GGA).

```
data_AcTbNdDy
_chemical_formula_sum 'Ac2 Tb2 Nd2 Dy2'
_cell_length_a 6.424
_cell_length_b 3.704
_cell_length_c 12.195
_cell_angle_alpha 90.00
_cell_angle_beta 100.08
_cell_angle_gamma 90.00
_space_group_name_H-M_alt 'C 1 m 1'
_space_group_IT_number 8
_space_group_name_Hall 'C -2y'
loop_
_atom_site_label
_atom_site_type_symbol
_atom_site_fract_x
_atom_site_fract_y
_atom_site_fract_z
_atom_site_occupancy
Ac1 Ac 0.000 0.000 0.000 1
Tb1 Tb 0.331 0.500 0.491 1
Nd1 Nd 0.243 0.000 0.733 1
Dy1 Dy 0.417 0.000 0.256 1
```

D(E_F) = 1.29 states/eV per atom
energy of formation = 0.056 eV per atom
raw total energy = -35.77 eV for the cell shown

=====

(3)
Entry from Alexandria: AcTb4Nd2Dy after structural relaxation (PBE-GGA).

```
data_AcTb4Nd2Dy
_chemical_formula_sum 'Ac4 Tb16 Nd8 Dy4'
_cell_length_a 6.950
_cell_length_b 11.990
_cell_length_c 13.477
_cell_angle_alpha 90.00
_cell_angle_beta 90.00
_cell_angle_gamma 90.00
_space_group_name_H-M_alt 'I m m a'
_space_group_IT_number 74
_space_group_name_Hall '-I 2b 2'
loop_
_atom_site_label
_atom_site_type_symbol
_atom_site_fract_x
_atom_site_fract_y
_atom_site_fract_z
_atom_site_occupancy
Ac1 Ac 0.000 0.000 0.000 1
Tb1 Tb 0.000 0.005 0.258 1
Tb2 Tb 0.237 0.250 0.495 1
Nd1 Nd 0.000 0.000 0.500 1
Nd2 Nd 0.250 0.250 0.750 1
Dy1 Dy 0.250 0.250 0.250 1
```

D(E_F) = 2.36 states/eV per atom
energy of formation = 0.418 eV per atom
raw total energy = -133.69 eV for the cell shown

=====

(4)
Entry from Alexandria: AcTbNd5Dy2 after structural relaxation (PBE-GGA).

```
data_AcTbNd5Dy2
_chemical_formula_sum 'Ac4 Tb4 Nd20 Dy8'
_cell_length_a 5.592
_cell_length_b 24.503
_cell_length_c 9.517
_cell_angle_alpha 90.00
_cell_angle_beta 90.00
_cell_angle_gamma 90.00
_space_group_name_H-M_alt 'C m c 21'
_space_group_IT_number 36
_space_group_name_Hall 'C 2c -2'
loop_
_atom_site_label
_atom_site_type_symbol
_atom_site_fract_x
_atom_site_fract_y
_atom_site_fract_z
_atom_site_occupancy
Ac1 Ac 0.000 0.102 0.000 1
Tb1 Tb 0.000 0.263 0.391 1
Nd1 Nd 0.000 0.024 0.673 1
Nd2 Nd 0.000 0.106 0.395 1
Nd3 Nd 0.000 0.190 0.703 1
Nd4 Nd 0.000 0.241 0.066 1
Nd5 Nd 0.000 0.491 0.892 1
Dy1 Dy 0.000 0.327 0.751 1
Dy2 Dy 0.000 0.388 0.143 1
```

D(E_F) = 1.27 states/eV per atom
energy of formation = 0.142 eV per atom
raw total energy = -162.02 eV for the cell shown

=====

(5)
Entry from Alexandria: AcTb2Nd2Dy2 after structural relaxation (PBE-GGA).

```
data_AcTb2Nd2Dy2
_chemical_formula_sum 'Ac2 Tb4 Nd4 Dy4'
_cell_length_a 11.570
_cell_length_b 5.167
_cell_length_c 8.163
_cell_angle_alpha 90.00
_cell_angle_beta 98.31
_cell_angle_gamma 90.00
_space_group_name_H-M_alt 'C 1 2/m 1'
_space_group_IT_number 12
_space_group_name_Hall '-C 2y'
loop_
_atom_site_label
_atom_site_type_symbol
_atom_site_fract_x
_atom_site_fract_y
_atom_site_fract_z
_atom_site_occupancy
Ac1 Ac 0.000 0.000 0.000 1
Tb1 Tb 0.074 0.500 0.706 1
Nd1 Nd 0.215 0.500 0.151 1
Dy1 Dy 0.142 0.000 0.433 1
```

D(E_F) = 1.54 states/eV per atom
energy of formation = 0.038 eV per atom
raw total energy = -63.68 eV for the cell shown

=====

(6)
Entry from Alexandria: AcTbNd2Dy after structural relaxation (PBE-GGA).

```
data_AcTbNd2Dy
_chemical_formula_sum 'Ac2 Tb2 Nd4 Dy2'
_cell_length_a 6.466
_cell_length_b 5.933
_cell_length_c 9.888
_cell_angle_alpha 90.00
_cell_angle_beta 108.94
_cell_angle_gamma 90.00
_space_group_name_H-M_alt 'P 1 21/m 1'
_space_group_IT_number 11
_space_group_name_Hall '-P 2yb'
loop_
_atom_site_label
_atom_site_type_symbol
_atom_site_fract_x
_atom_site_fract_y
_atom_site_fract_z
_atom_site_occupancy
Ac1 Ac 0.137 0.250 0.105 1
Tb1 Tb 0.476 0.750 0.104 1
Nd1 Nd 0.267 0.750 0.699 1
Nd2 Nd 0.339 0.250 0.503 1
Dy1 Dy 0.064 0.750 0.309 1
```

D(E_F) = 1.65 states/eV per atom
energy of formation = 0.044 eV per atom
raw total energy = -45.32 eV for the cell shown

=====

(7)
Entry from Alexandria: AcTb5Nd2Dy after structural relaxation (PBE-GGA).

```
data_AcTb5Nd2Dy
_chemical_formula_sum 'Ac4 Tb20 Nd8 Dy4'
_cell_length_a 8.874
_cell_length_b 8.874
_cell_length_c 15.695
_cell_angle_alpha 90.00
_cell_angle_beta 90.00
_cell_angle_gamma 90.00
_space_group_name_H-M_alt 'I 4/m c m'
_space_group_IT_number 140
_space_group_name_Hall '-I 4 2c'
loop_
_atom_site_label
_atom_site_type_symbol
_atom_site_fract_x
_atom_site_fract_y
_atom_site_fract_z
_atom_site_occupancy
Ac1 Ac 0.000 0.000 0.250 1
Tb1 Tb 0.000 0.000 0.000 1
Tb2 Tb 0.207 0.293 0.133 1
Nd1 Nd 0.117 0.383 0.500 1
Dy1 Dy 0.000 0.500 0.250 1
```

D(E_F) = 1.06 states/eV per atom
energy of formation = 0.256 eV per atom
raw total energy = -156.37 eV for the cell shown

=====

(8)
Entry from Alexandria: AcTb2NdDy4 after structural relaxation (PBE-GGA).

```
data_AcTb2NdDy4
_chemical_formula_sum 'Ac4 Tb8 Nd4 Dy16'
_cell_length_a 13.802
_cell_length_b 13.455
_cell_length_c 6.931
_cell_angle_alpha 90.00
_cell_angle_beta 120.12
_cell_angle_gamma 90.00
_space_group_name_H-M_alt 'C 1 2/c 1'
_space_group_IT_number 15
_space_group_name_Hall '-C 2yc'
loop_
_atom_site_label
_atom_site_type_symbol
_atom_site_fract_x
_atom_site_fract_y
_atom_site_fract_z
_atom_site_occupancy
Ac1 Ac 0.250 0.250 0.000 1
Tb1 Tb 0.000 0.000 0.000 1
Tb2 Tb 0.250 0.250 0.500 1
Nd1 Nd 0.000 0.500 0.000 1
Dy1 Dy 0.000 0.246 0.013 1
Dy2 Dy 0.246 0.009 0.495 1
```

D(E_F) = 2.33 states/eV per atom
energy of formation = 0.437 eV per atom
raw total energy = -132.21 eV for the cell shown

=====

(9)
Entry from Alexandria: Ac2TbNdDy after structural relaxation (PBE-GGA).

```
data_Ac2TbNdDy
_chemical_formula_sum 'Ac4 Tb2 Nd2 Dy2'
_cell_length_a 6.459
_cell_length_b 9.006
_cell_length_c 6.718
_cell_angle_alpha 90.00
_cell_angle_beta 90.00
_cell_angle_gamma 90.00
_space_group_name_H-M_alt 'P m m a'
_space_group_IT_number 51
_space_group_name_Hall '-P 2a 2a'
loop_
_atom_site_label
_atom_site_type_symbol
_atom_site_fract_x
_atom_site_fract_y
_atom_site_fract_z
_atom_site_occupancy
Ac1 Ac 0.250 0.203 0.211 1
Tb1 Tb 0.250 0.000 0.682 1
Nd1 Nd 0.250 0.500 0.920 1
Dy1 Dy 0.000 0.500 0.500 1
```

D(E_F) = 1.29 states/eV per atom
energy of formation = 0.270 eV per atom
raw total energy = -41.73 eV for the cell shown

=====

(10)
Entry from Alexandria: AcTb2NdDy6 after structural relaxation (PBE-GGA).

```
data_AcTb2NdDy6
_chemical_formula_sum 'Ac4 Tb8 Nd4 Dy24'
_cell_length_a 9.221
_cell_length_b 15.340
_cell_length_c 9.605
_cell_angle_alpha 90.00
_cell_angle_beta 95.41
_cell_angle_gamma 90.00
_space_group_name_H-M_alt 'C 1 2/c 1'
_space_group_IT_number 15
_space_group_name_Hall '-C 2yc'
loop_
_atom_site_label
_atom_site_type_symbol
_atom_site_fract_x
_atom_site_fract_y
_atom_site_fract_z
_atom_site_occupancy
Ac1 Ac 0.000 0.030 0.250 1
Tb1 Tb 0.246 0.443 0.452 1
Nd1 Nd 0.000 0.410 0.750 1
Dy1 Dy 0.063 0.189 0.942 1
Dy2 Dy 0.101 0.390 0.117 1
Dy3 Dy 0.210 0.231 0.321 1
```

D(E_F) = 1.52 states/eV per atom
energy of formation = 0.131 eV per atom
raw total energy = -177.74 eV for the cell shown

=====

(11)
Entry from Alexandria: Ac2Nd3DyTe6 after structural relaxation (PBE-GGA).

```
data_Ac2Nd3DyTe6
_chemical_formula_sum 'Ac4 Nd6 Dy2 Te12'
_cell_length_a 7.877
_cell_length_b 13.678
_cell_length_c 7.890
_cell_angle_alpha 90.00
_cell_angle_beta 109.54
_cell_angle_gamma 90.00
_space_group_name_H-M_alt 'C 1 2/m 1'
_space_group_IT_number 12
_space_group_name_Hall '-C 2y'
loop_
_atom_site_label
_atom_site_type_symbol
_atom_site_fract_x
_atom_site_fract_y
_atom_site_fract_z
_atom_site_occupancy
Ac1 Ac 0.000 0.165 0.000 1
Nd1 Nd 0.000 0.000 0.500 1
Nd2 Nd 0.000 0.320 0.500 1
Dy1 Dy 0.000 0.500 0.000 1
Te1 Te 0.227 0.500 0.736 1
Te2 Te 0.240 0.341 0.251 1
```

D(E_F) = 0.57 states/eV per atom
formation energy (no corrections) = -1.41 eV per atom
raw total energy = -125.82 eV for the cell shown

=====

(12)
Entry from Alexandria: Ac3NdDy3Te8 after structural relaxation (PBE-GGA).

```
data_Ac3NdDy3Te8
_chemical_formula_sum 'Ac9 Nd3 Dy9 Te24'
_cell_length_a 8.9625
_cell_length_b 8.9625
_cell_length_c 22.5719
_cell_angle_alpha 90.00
_cell_angle_beta 90.00
_cell_angle_gamma 120.00
_space_group_name_H-M_alt 'R -3 m'
_space_group_IT_number 166
_space_group_name_Hall '-R 3 2"'
loop_
_atom_site_label
_atom_site_type_symbol
_atom_site_fract_x
_atom_site_fract_y
_atom_site_fract_z
_atom_site_occupancy
Ac1 Ac 0.0000 0.5000 0.0000 1
Nd1 Nd 0.0000 0.0000 0.5000 1
Dy1 Dy 0.0000 0.5000 0.5000 1
Te1 Te 0.0000 0.0000 0.2414 1
Te2 Te 0.0166 0.5083 0.7545 1
```

D(E_F) = 0.50 states/eV per atom
formation energy (no corrections) = -1.44 eV per atom
raw total energy = -232.89 eV for the cell shown